Computed, not measured: a relaxed structure of LaCo2PN at the PBE level of DFT.

Results
For the energy relative to the elements, uncorrected, the calculation gives -847 meV/atom. Its space group is Cmcm, No. 63.

a = 3.6942 Å, b = 5.7382 Å, c = 6.7850 Å
α = 90.00°, β = 90.00°, γ = 108.78°
Each line ends with the local moment (μB).
Atoms (fractional coordinates):
1 La 0.4555 0.9111 0.7500  0.02
2 La 0.5445 0.0889 0.2500  0.02
3 Co 0.1708 0.3416 0.9449  0.64
4 Co 0.8292 0.6584 0.0551  0.64
5 Co 0.1708 0.3416 0.5551  0.64
6 Co 0.8292 0.6584 0.4449  0.64
7 P 0.7285 0.4570 0.7500  -0.01
8 P 0.2715 0.5430 0.2500  -0.01
9 N 0.0000 0.0000 0.0000  0.15
10 N 0.0000 0.0000 0.5000  0.15

Computed, not measured: a relaxed structure of Co2CuOs at the PBE level of DFT.

Results
The formation energy is 0.199 eV/atom. For the energy above the most stable polymorph in this dataset, the calculation gives 43 meV per atom. Its space group is R-3m, No. 166.

a = 8.4303 Å, b = 8.4303 Å, c = 8.4303 Å
α = 17.86°, β = 17.86°, γ = 17.86°
Each line ends with the local moment (μB).
Atoms (fractional coordinates):
1 Co 0.9996 0.9996 0.9996  1.26
2 Co 0.5004 0.5004 0.5004  1.26
3 Cu 0.2500 0.2500 0.2500  0.04
4 Os 0.7500 0.7500 0.7500  0.09

Computed, not measured: a relaxed structure of CaAcPmTh at the PBE level of DFT.

Results
The formation energy is 0.237 eV/atom. Its space group is F-43m, No. 216.

a = 5.9712 Å, b = 5.9712 Å, c = 5.9712 Å
α = 60.00°, β = 60.00°, γ = 60.00°
Each line ends with the local moment (μB).
Atoms (fractional coordinates):
1 Ac 0.0000 0.0000 0.0000  0.08
2 Ca 0.2500 0.2500 0.2500  0.01
3 Th 0.7500 0.7500 0.7500  0.29
4 Pm 0.5000 0.5000 0.5000  0.16

Computed, not measured: a relaxed structure of Ho2GaH at the PBE level of DFT.

Results
For the energy above the most stable polymorph in this dataset, the calculation gives 143 meV per atom. Its space group is R-3m, No. 166.

a = 3.5832 Å, b = 3.5832 Å, c = 7.4195 Å
α = 76.03°, β = 76.03°, γ = 60.00°
Atoms (fractional coordinates):
1 H 0.5000 0.5000 0.5000
2 Ho 0.7682 0.7682 0.6953
3 Ho 0.2318 0.2318 0.3047
4 Ga 0.0000 0.0000 0.0000

Computed, not measured: a relaxed structure of Li6Au5 at the PBE level of DFT.

Results
The formation energy is -0.498 eV/atom. Its space group is P2/m, No. 10.

a = 4.4228 Å, b = 6.9009 Å, c = 6.2878 Å
α = 90.00°, β = 90.00°, γ = 71.93°
Atoms (fractional coordinates):
1 Li 0.5000 0.0000 0.7582
2 Li 0.5000 0.0000 0.2418
3 Li 0.8342 0.3279 0.7483
4 Li 0.8342 0.3279 0.2517
5 Li 0.1658 0.6721 0.2517
6 Li 0.1658 0.6721 0.7483
7 Au 0.0000 0.0000 0.5000
8 Au 0.6710 0.6597 0.0000
9 Au 0.3290 0.3403 0.0000
10 Au 0.3335 0.3285 0.5000
11 Au 0.6665 0.6715 0.5000

Computed, not measured: a relaxed structure of NaLi2B at the PBE level of DFT.

Results
The formation energy is 0.744 eV/atom. Its space group is I-42d, No. 122.

a = 3.9318 Å, b = 3.9318 Å, c = 9.0258 Å
α = 77.42°, β = 77.42°, γ = 90.00°
Atoms (fractional coordinates):
1 Na 0.0000 0.0000 0.0000
2 Na 0.7500 0.2500 0.5000
3 B 0.5000 0.5000 0.0000
4 B 0.2500 0.7500 0.5000
5 Li 0.1952 0.1250 0.2500
6 Li 0.5548 0.6250 0.2500
7 Li 0.3750 0.8048 0.7500
8 Li 0.8750 0.4452 0.7500

Computed, not measured: a relaxed structure of Y3HoSc2S6 at the PBE level of DFT.

Results
For the energy relative to the elements, uncorrected, the calculation gives -1942 meV/atom. Its space group is C2/m, No. 12.

a = 6.6498 Å, b = 6.6498 Å, c = 6.6628 Å
α = 99.54°, β = 99.54°, γ = 120.17°
Atoms (fractional coordinates):
1 Y 0.1635 0.8365 0.5000
2 Y 0.8365 0.1635 0.5000
3 Y 0.5000 0.5000 0.5000
4 Ho 0.0000 0.0000 0.0000
5 Sc 0.3337 0.6663 0.0000
6 Sc 0.6663 0.3337 0.0000
7 S 0.9205 0.5791 0.7613
8 S 0.7369 0.7369 0.2358
9 S 0.0795 0.4209 0.2387
10 S 0.5791 0.9205 0.7613
11 S 0.2631 0.2631 0.7642
12 S 0.4209 0.0795 0.2387

Computed, not measured: a relaxed structure of Ac6PmIn5 at the PBE level of DFT.

Results
The formation energy is -0.319 eV/atom. Its space group is Immm, No. 71.

a = 5.4777 Å, b = 9.3065 Å, c = 9.9005 Å
α = 118.03°, β = 106.10°, γ = 90.00°
Atoms (fractional coordinates):
1 Ac 0.8283 0.5664 0.6559
2 Ac 0.8282 0.0895 0.6558
3 Ac 0.5001 0.7282 0.0000
4 Ac 0.4999 0.2718 0.0000
5 Ac 0.1718 0.9105 0.3442
6 Ac 0.1717 0.4336 0.3441
7 In 0.6483 0.1485 0.2969
8 In 0.3285 0.3281 0.6562
9 In 0.0000 0.5000 0.0000
10 In 0.6715 0.6719 0.3438
11 In 0.3517 0.8515 0.7031
12 Pm 0.0000 0.0000 0.0000

Ordered final energy results: -74.22 -28.74 -17.33 -17.00 -33.34 -17.69 -84.70 -46.92; unit eV for the cell shown.